Here is a relaxed structure of SiNiTe2 from Alexandria. Energies are from PBE.

Output
Its density of states at the Fermi level is 1.655 states/eV/f.u. The value obtained for the calculated volume is 91.0 Å³ per cell. The mass density comes out at 6.2 Mg/m³. The electronic total energy is -16.75 eV per formula unit.

Structure (POSCAR):
```
SiNiTe2
1.0
3.0615 -0.0953 0.0000
-0.2773 3.0504 0.0000
0.0000 0.0000 9.7756
Ni Te Si
1 2 1
direct
0.0000 0.0000 0.5402 Ni
0.0000 0.0000 0.9554 Te
0.5000 0.5000 0.3444 Te
0.5000 0.5000 0.6600 Si
```